Here is a relaxed TiTcCl3 crystal from Alexandria via LeMat-Bulk. Energies are from PBE.

Results
- Formation energy without anion corrections: 0 meV/atom
- Space-group type: Pm-3m (221)
- Raw total energy: -4.760 eV/atom

a b c (Å): 4.933 4.933 4.933
angles (deg): 90.00 90.00 90.00
Fractional coordinates of all 5 atoms:
Ti: 0.000 0.000 0.000
Cl: 0.000 0.500 0.000
Cl: 0.000 0.000 0.500
Cl: 0.500 0.000 0.000
Tc: 0.500 0.500 0.500